(1)
The following is a PBE calculation of a relaxed RbInGe crystal, from Alexandria via LeMat-Bulk.

The structure in POSCAR format:
```
RbInGe
1.0
7.098 0.000 0.000
0.000 3.953 0.000
0.000 0.000 15.660
Rb In Ge
4 4 4
direct
0.070 0.250 0.134
0.430 0.750 0.634
0.570 0.250 0.366
0.930 0.750 0.866
0.065 0.750 0.351
0.435 0.250 0.851
0.565 0.750 0.149
0.935 0.250 0.649
0.127 0.250 0.496
0.373 0.750 0.996
0.627 0.250 0.004
0.873 0.750 0.504
```

Energy of formation from the pure elements ... -0.04 eV/atom
Density of states at the Fermi level ... 0.0 states/eV/f.u.


(2)
The following is a PBE calculation of a relaxed Ca2RuO4 crystal, from Alexandria via LeMat-Bulk.

The structure in POSCAR format:
```
Ca2RuO4
1.0
5.947 0.000 0.000
0.000 5.680 0.000
-2.035 0.000 6.144
Ca Ru O
4 2 8
direct
0.170 0.250 0.036
0.243 0.250 0.562
0.757 0.750 0.438
0.830 0.750 0.964
0.294 0.750 0.800
0.706 0.250 0.200
0.032 0.524 0.753
0.032 0.976 0.753
0.480 0.750 0.091
0.497 0.750 0.637
0.503 0.250 0.363
0.520 0.250 0.909
0.968 0.024 0.247
0.968 0.476 0.247
```

Density of states at the Fermi level ... 3.8 states/eV/f.u.
Energy above the most stable polymorph in this dataset ... 0.245 eV per atom
Energy relative to the elements, uncorrected ... -1874 meV/atom


(3)
The following is a PBE calculation of a relaxed Mn2TcHPt crystal, from Alexandria via LeMat-Bulk.

The structure in POSCAR format:
```
Mn2TcHPt
1.0
3.780 0.000 0.000
0.000 3.780 0.000
0.000 0.000 3.756
Mn Tc H Pt
2 1 1 1
direct
0.000 0.500 0.000
0.500 0.000 0.000
0.000 0.000 0.500
0.000 0.000 0.000
0.500 0.500 0.500
```

Density of states at the Fermi level ... 5.5 states/eV/f.u.
Energy above the most stable polymorph in this dataset ... 0.000 eV per atom


(4)
The following is a PBE calculation of a relaxed NaLiTm2Se4 crystal, from Alexandria via LeMat-Bulk.

The structure in POSCAR format:
```
NaLiTm2Se4
1.0
7.037 0.000 0.000
0.000 4.063 0.000
-2.352 0.000 6.757
Na Li Tm Se
1 1 2 4
direct
0.000 0.000 0.000
0.500 0.500 0.000
0.000 0.500 0.500
0.500 0.000 0.500
0.250 0.000 0.739
0.258 0.500 0.264
0.742 0.500 0.736
0.750 0.000 0.261
```

Density of states at the Fermi level ... 0.0 states/eV/f.u.
Energy relative to the elements, uncorrected ... -1687 meV/atom


(5)
The following is a PBE calculation of a relaxed Pr3Er5Pb2 crystal, from Alexandria via LeMat-Bulk.

The structure in POSCAR format:
```
Pr3Er5Pb2
1.0
-6.453 7.894 3.227
6.453 -7.894 3.227
6.453 7.894 -3.227
Pr Er Pb
6 10 4
direct
0.229 0.125 0.354
0.250 0.250 0.000
0.271 0.625 0.896
0.729 0.375 0.104
0.750 0.750 0.000
0.771 0.875 0.646
0.162 0.396 0.558
0.250 0.505 0.255
0.250 0.750 0.500
0.250 0.995 0.745
0.338 0.896 0.234
0.662 0.104 0.766
0.750 0.005 0.255
0.750 0.250 0.500
0.750 0.495 0.745
0.838 0.604 0.442
0.149 0.857 0.006
0.351 0.357 0.708
0.649 0.643 0.292
0.851 0.143 0.994
```

Energy of formation from the pure elements ... -0.02 eV/atom
Density of states at the Fermi level ... 11.0 states/eV/f.u.


(6)
The following is a PBE calculation of a relaxed PrMgCu2 crystal, from Alexandria via LeMat-Bulk.

The structure in POSCAR format:
```
PrMgCu2
1.0
3.378 0.000 0.000
0.000 3.378 0.000
0.000 0.000 6.879
Pr Mg Cu
1 1 2
direct
0.000 0.000 0.000
0.000 0.000 0.500
0.500 0.500 0.298
0.500 0.500 0.702
```

Energy of formation from the pure elements ... -0.07 eV/atom
Density of states at the Fermi level ... 2.6 states/eV/f.u.


(7)
The following is a PBE calculation of a relaxed CsSn2P2 crystal, from Alexandria via LeMat-Bulk.

The structure in POSCAR format:
```
CsSn2P2
1.0
8.959 0.000 0.000
0.000 8.959 0.000
0.000 0.000 4.282
Cs Sn P
2 4 4
direct
0.000 0.000 0.000
0.500 0.500 0.000
0.118 0.382 0.500
0.382 0.882 0.500
0.618 0.118 0.500
0.882 0.618 0.500
0.090 0.590 0.000
0.410 0.090 0.000
0.590 0.910 0.000
0.910 0.410 0.000
```

Energy of formation from the pure elements ... -0.02 eV/atom
Density of states at the Fermi level ... 0.7 states/eV/f.u.


(8)
The following is a PBE calculation of a relaxed PmEr3TmTh crystal, from Alexandria via LeMat-Bulk.

The structure in POSCAR format:
```
PmEr3TmTh
1.0
7.911 0.000 0.000
0.000 5.031 0.000
-3.238 0.000 9.498
Pm Er Tm Th
2 6 2 2
direct
0.168 0.250 0.292
0.832 0.750 0.708
0.169 0.750 0.543
0.173 0.750 0.043
0.175 0.250 0.792
0.825 0.750 0.208
0.827 0.250 0.957
0.831 0.250 0.457
0.499 0.250 0.627
0.501 0.750 0.373
0.498 0.750 0.878
0.502 0.250 0.122
```

Energy of formation from the pure elements ... 0.03 eV/atom
Density of states at the Fermi level ... 9.1 states/eV/f.u.